Below is CsDy2B2S6 after structural relaxation, with properties calculated at the PBE level.

abc: 7.1174 7.3689 7.3499
angles: 115.93 89.99 61.13
Positions (direct):
S (0.0400, 0.3552, 0.1394)
S (0.6048, 0.3547, 0.1392)
S (0.9600, 0.6448, 0.8606)
S (0.0719, 0.8565, 0.6098)
S (0.3952, 0.6453, 0.8608)
S (0.9281, 0.1435, 0.3902)
Cs (0.5000, 0.0000, 0.5000)
B (0.1486, 0.7031, 0.7633)
B (0.8514, 0.2969, 0.2367)
Dy (0.8285, 0.3429, 0.8270)
Dy (0.1715, 0.6571, 0.1730)

**Formation energy without anion corrections**: -1.0991 eV per atom
**Space-group type**: C2/m (12)